Material: NbTcW
Method: DFT, PBE-GGA
State: optimized geometry

E: -33.599 eV per cell
Symmetry: P3m1
Formation energy from the elements: -0.070 eV/atom
M_tot: 0.00 μB/cell
D(E_F): 1.68 states/eV per cell
ΔE to the lowest computed polymorph: 0.098 eV per atom

Cell: 2.7944 4.4848 4.4848 Å, 120.00 90.00 90.00°
Fractional coordinates of all 3 atoms:
Tc  0.6708  0.3333  0.6667
W  0.9915  0.0000  0.0000
Nb  0.3376  0.6667  0.3333